[1]
Entry from Alexandria: crystalline NaTcAs2Se at its relaxed geometry (GGA-PBE).

Results
Energy relative to the lowest polymorph listed for this composition ... 0 meV per atom

Lattice parameters (Å, degrees): 4.7205 4.7205 5.5723 90.00 90.00 90.00
Site moments in Bohr magnetons follow the coordinates.
Positions (direct):
Na (0.5000, 0.5000, 0.5000)  0.00
Tc (0.0000, 0.0000, 0.0000)  0.33
As (0.5000, 0.0000, 0.0000)  -0.01
As (0.0000, 0.5000, 0.0000)  -0.01
Se (0.0000, 0.0000, 0.5000)  0.07

---

[2]
Entry from Alexandria: crystalline NaTcAsSe2 at its relaxed geometry (GGA-PBE).

Results
Energy relative to the lowest polymorph listed for this composition ... 0 meV per atom

Lattice parameters (Å, degrees): 5.0809 5.0809 4.7489 90.00 90.00 90.00
Site moments in Bohr magnetons follow the coordinates.
Positions (direct):
Tc (0.0000, 0.0000, 0.0000)  0.78
Se (0.0000, 0.5000, 0.0000)  0.05
Se (0.5000, 0.0000, 0.0000)  0.05
As (0.0000, 0.0000, 0.5000)  -0.03
Na (0.5000, 0.5000, 0.5000)  0.00

---

[3]
Entry from Alexandria: crystalline NaTeAs2Se at its relaxed geometry (GGA-PBE).

Results
Energy relative to the lowest polymorph listed for this composition ... 0 meV per atom

Lattice parameters (Å, degrees): 5.3812 5.3812 5.5172 90.00 90.00 90.00
Site moments in Bohr magnetons follow the coordinates.
Positions (direct):
As (0.5000, 0.0000, 0.0000)  0.10
As (0.0000, 0.5000, 0.0000)  0.10
Te (0.0000, 0.0000, 0.0000)  -0.01
Se (0.0000, 0.0000, 0.5000)  0.04
Na (0.5000, 0.5000, 0.5000)  0.00

---

[4]
Entry from Alexandria: crystalline Na2TeAsSe5 at its relaxed geometry (GGA-PBE).

Lattice parameters (Å, degrees): 4.2436 9.5681 12.6537 90.00 90.00 102.81
Positions (direct):
Na (0.8914, 0.7827, 0.8249)
Na (0.8966, 0.7931, 0.1588)
Na (0.1086, 0.2173, 0.3249)
Na (0.1034, 0.2069, 0.6588)
Te (0.7740, 0.5479, 0.5436)
Te (0.2260, 0.4521, 0.0436)
Se (0.6912, 0.3823, 0.8826)
Se (0.0460, 0.0919, 0.0340)
Se (0.3571, 0.7142, 0.9927)
Se (0.5055, 0.0110, 0.7683)
Se (0.4945, 0.9890, 0.2683)
Se (0.2668, 0.5336, 0.6873)
Se (0.9540, 0.9081, 0.5340)
Se (0.6429, 0.2858, 0.4927)
Se (0.7332, 0.4664, 0.1873)
Se (0.3088, 0.6177, 0.3826)
As (0.4342, 0.8683, 0.4319)
As (0.5658, 0.1317, 0.9319)

---

[5]
Entry from Alexandria: crystalline NaTeAs2Se at its relaxed geometry (GGA-PBE).

Results
Energy relative to the lowest polymorph listed for this composition ... 490 meV per atom

Lattice parameters (Å, degrees): 5.1270 5.1270 4.9894 90.00 90.00 90.00
Positions (direct):
Te (0.5000, 0.5000, 0.5000)
Se (0.0000, 0.0000, 0.5000)
As (0.0000, 0.5000, 0.0000)
As (0.5000, 0.0000, 0.0000)
Na (0.0000, 0.0000, 0.0000)

---

[6]
Entry from Alexandria: crystalline Na2TeAsSe4 at its relaxed geometry (GGA-PBE).

Lattice parameters (Å, degrees): 7.4052 4.5792 9.2808 99.47 131.94 93.62
Positions (direct):
Se (0.0799, 0.2610, 0.6949)
Se (0.3496, 0.9177, 0.2256)
Se (0.8403, 0.4908, 0.1690)
Se (0.6629, 0.6558, 0.7323)
Na (0.4853, 0.8898, 0.9910)
Na (0.1910, 0.1225, 0.4348)
Te (0.7702, 0.5924, 0.5117)
As (0.0078, 0.4570, 0.0149)

---

Number 1: N(E_F) 5.67 states/eV/cell, E_form (uncorrected) 0.083 eV per atom. Number 2: N(E_F) 6.14 states/eV/cell, E_form (uncorrected) 0.028 eV per atom. Number 3: N(E_F) 4.84 states/eV/cell, E_form (uncorrected) 0.442 eV per atom. Number 4: N(E_F) 1.60 states/eV/cell, E_form (uncorrected) -0.407 eV per atom. Number 5: N(E_F) 7.41 states/eV/cell, E_form (uncorrected) 0.932 eV per atom. Number 6: N(E_F) 0.51 states/eV/cell, E_form (uncorrected) -0.461 eV per atom.